Density functional theory data (PBE-GGA) for a relaxed Sr3In2Pb crystal.

Output
E = -34.04 eV for the cell shown
Volume = 411.0 Å³/cell
Energy of formation from the pure elements = -465 meV per atom
D(E_F) = 0.59 states/eV/atom

Cell lengths 5.835, 17.611, 4.000 Å; angles 90.00, 90.00, 90.00 degrees
Fractional coordinates of all 12 atoms:
1 Sr 0.000 0.000 0.000
2 Sr 0.000 0.335 0.000
3 Sr 0.000 0.665 0.000
4 Sr 0.500 0.165 0.000
5 Sr 0.500 0.500 0.000
6 Sr 0.500 0.835 0.000
7 In 0.000 0.175 0.500
8 In 0.000 0.825 0.500
9 In 0.500 0.325 0.500
10 In 0.500 0.675 0.500
11 Pb 0.000 0.500 0.500
12 Pb 0.500 0.000 0.500